No. 1
Here is crystalline LaTiCu at its relaxed geometry from Alexandria. Energies are from PBE-GGA.

Geometry as POSCAR:
```
LaTiCu
1.0
4.6168 0.0000 0.0000
-2.3084 3.9983 0.0000
0.0000 0.0000 10.7806
La Ti Cu
2 2 2
direct
0.0000 0.0000 0.2500
0.0000 0.0000 0.7500
0.0000 0.0000 0.0000
0.0000 0.0000 0.5000
0.3333 0.6667 0.2500
0.6667 0.3333 0.7500
```

Output
- Energy relative to the lowest polymorph listed for this composition: 1632 meV per atom
- Calculated density: 4.18 g cm⁻³
- SG: No. 194
- Calculated formation energy: 1.645 eV per atom



No. 2
Here is crystalline ThZn3Co2 at its relaxed geometry from Alexandria. Energies are from PBE-GGA.

Geometry as POSCAR:
```
ThZn3Co2
1.0
3.1905 -3.8750 0.0000
3.1905 3.8750 0.0000
-2.9731 0.0000 8.0987
Th Zn Co
2 6 4
direct
0.0085 0.9915 0.7500
0.9915 0.0085 0.2500
0.2411 0.6218 0.9642
0.3782 0.7589 0.5358
0.4095 0.5905 0.2500
0.5905 0.4095 0.7500
0.6218 0.2411 0.4642
0.7589 0.3782 0.0358
0.0869 0.4682 0.6603
0.4682 0.0869 0.1603
0.5318 0.9131 0.8397
0.9131 0.5318 0.3397
```

Output
- Calculated density: 9.06 g cm⁻³
- SG: No. 15
- Calculated formation energy: -0.128 eV per atom



No. 3
Here is crystalline Na4B7C at its relaxed geometry from Alexandria. Energies are from PBE-GGA.

Geometry as POSCAR:
```
Na4B7C
1.0
2.9762 0.0000 0.0000
-1.4881 2.5774 0.0000
0.0000 0.0000 17.1959
Na B C
4 7 1
direct
0.0000 0.0000 0.1230
0.0000 0.0000 0.3737
0.0000 0.0000 0.6263
0.0000 0.0000 0.8770
0.3333 0.6667 0.0000
0.3333 0.6667 0.2482
0.3333 0.6667 0.5000
0.3333 0.6667 0.7518
0.6667 0.3333 0.2482
0.6667 0.3333 0.5000
0.6667 0.3333 0.7518
0.6667 0.3333 0.0000
```

Output
- Energy relative to the lowest polymorph listed for this composition: 40 meV per atom
- Calculated density: 2.26 g cm⁻³
- SG: No. 187
- Calculated formation energy: 0.262 eV per atom



No. 4
Here is crystalline Cd2Ga2I at its relaxed geometry from Alexandria. Energies are from PBE-GGA.

Geometry as POSCAR:
```
Cd2Ga2I
1.0
-2.3657 2.3657 6.1586
2.3657 -2.3657 6.1586
2.3657 2.3657 -6.1586
Cd Ga I
2 2 1
direct
0.1142 0.1142 0.0000
0.8858 0.8858 0.0000
0.2500 0.7500 0.5000
0.7500 0.2500 0.5000
0.5000 0.5000 0.0000
```

Output
- Energy relative to the lowest polymorph listed for this composition: 58 meV per atom
- Calculated density: 5.92 g cm⁻³
- SG: No. 139
- Raw formation energy: 9 kJ/mol of atoms



Q: What is the formula in the third record?
A: Na4B7C



Q: Which value of calculated density does entry 1 give?
A: 4.18 g cm⁻³



Q: Which value of calculated density does entry 1 give?
A: 4.18 g cm⁻³



Q: Look up the calculated density of the first one.
A: 4.18 g cm⁻³